Material: CdHPd3
Method: DFT, GGA-PBE
State: relaxed

Cell and atoms, written as POSCAR:
```
CdHPd3
1.0
-3.091 3.646 2.102
0.449 -2.015 4.797
4.031 3.094 1.204
Pd Cd H
6 2 2
Direct
0.250 0.001 0.499
0.001 0.499 0.250
0.999 0.501 0.750
0.501 0.750 0.999
0.750 0.999 0.501
0.499 0.250 0.001
0.500 0.500 0.500
0.000 0.000 0.000
0.250 0.250 0.250
0.750 0.750 0.750
```

Summary:
The distance to the lowest polymorph of the same formula is 184 meV per atom. The value obtained for the final energy is -4.072 eV per atom. The crystal system is trigonal.